1.
A relaxed structure of Ho7PtI12, computed with PBE.

Geometry as CIF:
```
data_Ho7PtI12
_symmetry_space_group_name_H-M 'R -3'
_symmetry_Int_Tables_number 148
_symmetry_space_group_name_Hall '-R 3'
_cell_length_a 15.6373
_cell_length_b 15.6373
_cell_length_c 10.7060
_cell_angle_alpha 90.00
_cell_angle_beta 90.00
_cell_angle_gamma 120.00
loop_
_atom_site_label
_atom_site_fract_x
_atom_site_fract_y
_atom_site_fract_z
Ho1 0.0000 0.0000 0.0000
Ho2 0.0444 0.1587 0.3553
Pt1 0.0000 0.0000 0.5000
I1 0.0182 0.5848 0.1595
I2 0.0511 0.1806 0.8392
```

***

2.
A relaxed structure of NdEr2IrPd2Pb3, computed with PBE.

Geometry as CIF:
```
data_NdEr2IrPd2Pb3
_symmetry_space_group_name_H-M 'A m m 2'
_symmetry_Int_Tables_number 38
_symmetry_space_group_name_Hall 'A 2 -2'
_cell_length_a 3.9026
_cell_length_b 13.5783
_cell_length_c 7.8007
_cell_angle_alpha 90.00
_cell_angle_beta 90.00
_cell_angle_gamma 90.00
loop_
_atom_site_label
_atom_site_fract_x
_atom_site_fract_y
_atom_site_fract_z
Nd1 0.0000 0.0000 0.0000
Er1 0.0000 0.1982 0.5978
Ir1 0.0000 0.0000 0.4057
Pd1 0.5000 0.1705 0.8983
Pb1 0.5000 0.0000 0.6633
Pb2 0.5000 0.1326 0.2693
```

***

3.
A relaxed structure of LaPr2Ni2B2As3, computed with PBE.

Geometry as CIF:
```
data_LaPr2Ni2B2As3
_symmetry_space_group_name_H-M 'I 4/m m m'
_symmetry_Int_Tables_number 139
_symmetry_space_group_name_Hall '-I 4 2'
_cell_length_a 4.1736
_cell_length_b 4.1736
_cell_length_c 22.4140
_cell_angle_alpha 90.00
_cell_angle_beta 90.00
_cell_angle_gamma 90.00
loop_
_atom_site_label
_atom_site_fract_x
_atom_site_fract_y
_atom_site_fract_z
La1 0.0000 0.0000 0.0000
Pr1 0.0000 0.0000 0.3561
Ni1 0.0000 0.5000 0.2500
B1 0.0000 0.0000 0.2248
As1 0.0000 0.0000 0.1321
As2 0.0000 0.0000 0.5000
```

***

4.
A relaxed structure of Ga2TcAu, computed with PBE.

Geometry as CIF:
```
data_Ga2TcAu
_symmetry_space_group_name_H-M 'F -4 3 m'
_symmetry_Int_Tables_number 216
_symmetry_space_group_name_Hall 'F -4 2 3'
_cell_length_a 6.3527
_cell_length_b 6.3527
_cell_length_c 6.3527
_cell_angle_alpha 90.00
_cell_angle_beta 90.00
_cell_angle_gamma 90.00
loop_
_atom_site_label
_atom_site_fract_x
_atom_site_fract_y
_atom_site_fract_z
Ga1 0.0000 0.0000 0.0000
Ga2 0.2500 0.2500 0.2500
Tc1 0.2500 0.2500 0.7500
Au1 0.0000 0.0000 0.5000
```

***

5.
# YZnCoTc | the Open Quantum Materials Database | PBE | optimized geometry
data_YZnCoTc
_symmetry_space_group_name_H-M 'F -4 3 m'
_symmetry_Int_Tables_number 216
_symmetry_space_group_name_Hall 'F -4 2 3'
_cell_length_a 6.3923
_cell_length_b 6.3923
_cell_length_c 6.3923
_cell_angle_alpha 90.00
_cell_angle_beta 90.00
_cell_angle_gamma 90.00
loop_
_atom_site_label
_atom_site_fract_x
_atom_site_fract_y
_atom_site_fract_z
Y1 0.0000 0.0000 0.0000
Zn1 0.0000 0.0000 0.5000
Co1 0.2500 0.2500 0.7500
Tc1 0.2500 0.2500 0.2500
# Energy above the lowest structure with this stoichiometry: 1.1 kJ per mole of atoms
# Energy of formation: 1.100 eV per formula unit

***

6.
# Cu2Ag3 | the Open Quantum Materials Database | PBE | optimized geometry
data_Cu2Ag3
_symmetry_space_group_name_H-M 'P -1'
_symmetry_Int_Tables_number 2
_symmetry_space_group_name_Hall '-P 1'
_cell_length_a 4.8739
_cell_length_b 4.8939
_cell_length_c 7.3032
_cell_angle_alpha 107.40
_cell_angle_beta 104.65
_cell_angle_gamma 99.46
loop_
_atom_site_label
_atom_site_fract_x
_atom_site_fract_y
_atom_site_fract_z
Cu1 0.0715 0.0855 0.3600
Cu2 0.3702 0.7041 0.4550
Ag1 0.1565 0.2987 0.0568
Ag2 0.2158 0.4961 0.7232
Ag3 0.4672 0.9021 0.1667
# Energy above the lowest structure with this stoichiometry: 4.7 kJ per mole of atoms
# Energy of formation: 0.405 eV per formula unit

***

7.
# ErAuSeO | the Open Quantum Materials Database | PBE | optimized geometry
data_ErAuSeO
_symmetry_space_group_name_H-M 'P 1 21 1'
_symmetry_Int_Tables_number 4
_symmetry_space_group_name_Hall 'P 2yb'
_cell_length_a 5.6841
_cell_length_b 5.6776
_cell_length_c 11.0356
_cell_angle_alpha 90.00
_cell_angle_beta 92.14
_cell_angle_gamma 90.00
loop_
_atom_site_label
_atom_site_fract_x
_atom_site_fract_y
_atom_site_fract_z
Er1 0.0055 0.0000 0.0916
Er2 0.4934 0.0017 0.9075
Au1 0.0031 0.0235 0.7297
Au2 0.3163 0.2768 0.5034
Se1 0.3025 0.2223 0.2845
Se2 0.3094 0.3260 0.7225
O1 0.2494 0.2498 0.0019
O2 0.2515 0.7501 0.9997
# Energy above the lowest structure with this stoichiometry: 0.0 kJ per mole of atoms

***

8.
# RbB4Pd | the Open Quantum Materials Database | PBE | optimized geometry
data_RbB4Pd
_symmetry_space_group_name_H-M 'P 6/m m m'
_symmetry_Int_Tables_number 191
_symmetry_space_group_name_Hall '-P 6 2'
_cell_length_a 3.1003
_cell_length_b 3.1003
_cell_length_c 8.5788
_cell_angle_alpha 90.00
_cell_angle_beta 90.00
_cell_angle_gamma 120.00
loop_
_atom_site_label
_atom_site_fract_x
_atom_site_fract_y
_atom_site_fract_z
Rb1 0.0000 0.0000 0.0000
B1 0.3333 0.6667 0.3037
Pd1 0.0000 0.0000 0.5000
# Energy above the lowest structure with this stoichiometry: 0.0 kJ per mole of atoms

***

9.
# PmPaNb | the Open Quantum Materials Database | PBE | optimized geometry
data_PmPaNb
_symmetry_space_group_name_H-M 'F -4 3 m'
_symmetry_Int_Tables_number 216
_symmetry_space_group_name_Hall 'F -4 2 3'
_cell_length_a 6.9641
_cell_length_b 6.9641
_cell_length_c 6.9641
_cell_angle_alpha 90.00
_cell_angle_beta 90.00
_cell_angle_gamma 90.00
loop_
_atom_site_label
_atom_site_fract_x
_atom_site_fract_y
_atom_site_fract_z
Pm1 0.0000 0.0000 0.0000
Pa1 0.0000 0.0000 0.5000
Nb1 0.2500 0.2500 0.7500
# Energy above the lowest structure with this stoichiometry: 0.0 kJ per mole of atoms
# Energy of formation: 2.196 eV per formula unit

***

10.
A relaxed structure of TbSmSiCl2, computed with PBE.

Geometry as CIF:
```
data_TbSmSiCl2
_symmetry_space_group_name_H-M 'P 3 m 1'
_symmetry_Int_Tables_number 156
_symmetry_space_group_name_Hall 'P 3 -2"'
_cell_length_a 4.1172
_cell_length_b 4.1172
_cell_length_c 9.7122
_cell_angle_alpha 90.00
_cell_angle_beta 90.00
_cell_angle_gamma 120.00
loop_
_atom_site_label
_atom_site_fract_x
_atom_site_fract_y
_atom_site_fract_z
Tb1 0.0000 0.0000 0.0000
Sm1 0.6667 0.3333 0.3380
Si1 0.3333 0.6667 0.1662
Cl1 0.0000 0.0000 0.5016
Cl2 0.6667 0.3333 0.8414
```

***

11.
A relaxed structure of La2InCuSe4, computed with PBE.

Geometry as CIF:
```
data_La2InCuSe4
_symmetry_space_group_name_H-M 'C m c m'
_symmetry_Int_Tables_number 63
_symmetry_space_group_name_Hall '-C 2c 2'
_cell_length_a 4.2731
_cell_length_b 14.6224
_cell_length_c 14.7437
_cell_angle_alpha 90.00
_cell_angle_beta 90.00
_cell_angle_gamma 90.00
loop_
_atom_site_label
_atom_site_fract_x
_atom_site_fract_y
_atom_site_fract_z
La1 0.0000 0.1351 0.0632
In1 0.0000 0.3945 0.2500
Cu1 0.0000 0.3384 0.7500
Se1 0.0000 0.0666 0.2500
Se2 0.0000 0.2337 0.6178
Se3 0.0000 0.5000 0.0000
```

***

12.
# Ga2Ag2Sn | the Open Quantum Materials Database | PBE | optimized geometry
data_Ga2Ag2Sn
_symmetry_space_group_name_H-M 'I 4/m m m'
_symmetry_Int_Tables_number 139
_symmetry_space_group_name_Hall '-I 4 2'
_cell_length_a 4.1900
_cell_length_b 4.1900
_cell_length_c 11.8045
_cell_angle_alpha 90.00
_cell_angle_beta 90.00
_cell_angle_gamma 90.00
loop_
_atom_site_label
_atom_site_fract_x
_atom_site_fract_y
_atom_site_fract_z
Ga1 0.0000 0.0000 0.1055
Ag1 0.0000 0.5000 0.2500
Sn1 0.0000 0.0000 0.5000
# Energy above the lowest structure with this stoichiometry: 0.4 kJ per mole of atoms

***

no.,electronic total energy (eV per cell)
1,-245.8
2,-100.3
3,-121.2
4,-74.2
5,-96.4
6,-31.0
7,-95.8
8,-30.7
9,-88.6
10,-26.3
11,-164.1
12,-30.7